No. 1
A geometry-optimized ZrC3N structure. Source: Alexandria via LeMat-Bulk, functional GGA-PBE.

Computed properties:
magnetization = 2.98 μB/f.u.
E_form (uncorrected) = 3412 meV per atom
SG = Pm-3m (221)
polymorph energy (0 for the lowest one) = 5.922 eV/f.u.

Cell: 4.413 4.413 4.413 Å, 90.00 90.00 90.00°
Fractional positions:
1 Zr 0.000 0.000 0.000
2 C 0.000 0.000 0.500
3 C 0.000 0.500 0.000
4 C 0.500 0.000 0.000
5 N 0.500 0.500 0.500

***

No. 2
A geometry-optimized LiY2HgF structure. Source: Alexandria via LeMat-Bulk, functional GGA-PBE.

Computed properties:
magnetization = 0.00 μB/f.u.
E_form (uncorrected) = -1206 meV per atom
SG = P4/mmm (123)

Cell: 5.043 5.043 3.964 Å, 90.00 90.00 90.00°
Fractional positions:
1 Li 0.000 0.000 0.000
2 Y 0.000 0.500 0.500
3 Y 0.500 0.000 0.500
4 Hg 0.500 0.500 0.000
5 F 0.000 0.000 0.500

***

No. 3
A geometry-optimized Pr5DyHo2Th structure. Source: Alexandria via LeMat-Bulk, functional GGA-PBE.

Computed properties:
energy relative to the elements = 0.141 eV/atom
magnetization = 0.00 μB/f.u.
SG = Cmcm (63)

Cell: 11.230 11.230 10.663 Å, 90.00 90.00 151.92°
Fractional positions:
1 Pr 0.000 0.000 0.000
2 Pr 0.000 0.000 0.500
3 Pr 0.126 0.874 0.750
4 Pr 0.222 0.778 0.058
5 Pr 0.222 0.778 0.442
6 Pr 0.498 0.502 0.250
7 Pr 0.502 0.498 0.750
8 Pr 0.778 0.222 0.558
9 Pr 0.778 0.222 0.942
10 Pr 0.874 0.126 0.250
11 Dy 0.102 0.898 0.250
12 Dy 0.898 0.102 0.750
13 Ho 0.387 0.613 0.505
14 Ho 0.387 0.613 0.995
15 Ho 0.613 0.387 0.005
16 Ho 0.613 0.387 0.495
17 Th 0.287 0.713 0.750
18 Th 0.713 0.287 0.250

***

No. 4
A geometry-optimized Hf6HgPd12 structure. Source: Alexandria via LeMat-Bulk, functional GGA-PBE.

Computed properties:
energy relative to the elements = -0.533 eV/atom
magnetization = 0.00 μB/f.u.
SG = R-3 (148)

Cell: 7.001 7.001 7.001 Å, 93.75 93.75 93.75°
Fractional positions:
1 Hf 0.190 0.744 0.350
2 Hf 0.256 0.650 0.810
3 Hf 0.350 0.190 0.744
4 Hf 0.650 0.810 0.256
5 Hf 0.744 0.350 0.190
6 Hf 0.810 0.256 0.650
7 Hg 0.500 0.500 0.500
8 Pd 0.025 0.963 0.709
9 Pd 0.037 0.291 0.975
10 Pd 0.126 0.367 0.462
11 Pd 0.291 0.975 0.037
12 Pd 0.367 0.462 0.126
13 Pd 0.462 0.126 0.367
14 Pd 0.538 0.874 0.633
15 Pd 0.633 0.538 0.874
16 Pd 0.709 0.025 0.963
17 Pd 0.874 0.633 0.538
18 Pd 0.963 0.709 0.025
19 Pd 0.975 0.037 0.291